Below is a geometry-optimized TaCu3Pb structure, with properties calculated at the PBE level.

abc: 4.8528 4.8528 4.8528
angles: 90.00 90.00 90.00
Last column: nearest neighbours and their distance in Å.
Space group Pm-3m (No. 221)
Symmetry-distinct sites (fractional):
Ta1 0.0000 0.0000 0.0000 [1 per cell]  6 Cu 2.43
Cu1 0.0000 0.0000 0.5000 [3 per cell]  2 Ta 2.43
Pb1 0.5000 0.5000 0.5000 [1 per cell]  12 Cu 3.43

Properties
The calculation puts the total DFT energy (no corrections) at -21.81 eV for the cell shown. The calculation puts the formation energy at 1207 meV per atom. As for the energy above the most stable polymorph in this dataset: 0 meV/atom.